No. 1
# Li8MgZn6 PBE relaxed
data_Li8MgZn6
_chemical_formula_sum 'Li24 Mg3 Zn18'
_cell_length_a 7.8543
_cell_length_b 7.8543
_cell_length_c 13.8177
_cell_angle_alpha 90.00
_cell_angle_beta 90.00
_cell_angle_gamma 120.00
_symmetry_space_group_name_H-M 'R -3'
_symmetry_Int_Tables_number 148
_symmetry_space_group_name_Hall '-R 3'
loop_
_atom_site_label
_atom_site_type_symbol
_atom_site_fract_x
_atom_site_fract_y
_atom_site_fract_z
Li1 Li 0.0000 0.0000 0.2492
Li2 Li 0.0339 0.6308 0.5714
Mg1 Mg 0.0000 0.0000 0.0000
Zn1 Zn 0.0199 0.8012 0.4140
# E ... -1.646 eV/atom
# Spin magnetization ... 0.00 μB per formula unit
# Crystal system ... trigonal
# N(E_F) ... 17.9 states/eV/cell
# Calculated formation energy ... -0.14 eV/f.u.

No. 2
# Li5Mg12Zn2 PBE relaxed
data_Li5Mg12Zn2
_chemical_formula_sum 'Li10 Mg24 Zn4'
_cell_length_a 13.414
_cell_length_b 8.219
_cell_length_c 7.352
_cell_angle_alpha 90.00
_cell_angle_beta 91.43
_cell_angle_gamma 90.00
_symmetry_space_group_name_H-M 'C 1 2/m 1'
_symmetry_Int_Tables_number 12
_symmetry_space_group_name_Hall '-C 2y'
loop_
_atom_site_label
_atom_site_type_symbol
_atom_site_fract_x
_atom_site_fract_y
_atom_site_fract_z
Li1 Li 0.000 0.000 0.000
Li2 Li 0.186 0.500 0.494
Li3 Li 0.234 0.000 0.069
Mg1 Mg 0.057 0.500 0.815
Mg2 Mg 0.087 0.000 0.376
Mg3 Mg 0.124 0.298 0.151
Mg4 Mg 0.150 0.184 0.733
Zn1 Zn 0.000 0.321 0.500
# E ... -1.651 eV/atom
# Spin magnetization ... 0.00 μB per formula unit
# Crystal system ... monoclinic
# N(E_F) ... 14.7 states/eV/cell
# Calculated formation energy ... -0.11 eV/f.u.

No. 3
# Li8Mg6Zn PBE relaxed
data_Li8Mg6Zn
_chemical_formula_sum 'Li24 Mg18 Zn3'
_cell_length_a 8.2509
_cell_length_b 8.2509
_cell_length_c 15.3674
_cell_angle_alpha 90.00
_cell_angle_beta 90.00
_cell_angle_gamma 120.00
_symmetry_space_group_name_H-M 'R -3'
_symmetry_Int_Tables_number 148
_symmetry_space_group_name_Hall '-R 3'
loop_
_atom_site_label
_atom_site_type_symbol
_atom_site_fract_x
_atom_site_fract_y
_atom_site_fract_z
Li1 Li 0.0000 0.0000 0.2417
Li2 Li 0.0483 0.7787 0.9061
Mg1 Mg 0.0223 0.7886 0.4107
Zn1 Zn 0.0000 0.0000 0.0000
# E ... -1.761 eV/atom
# Spin magnetization ... 0.00 μB per formula unit
# Crystal system ... trigonal
# N(E_F) ... 16.6 states/eV/cell
# Calculated formation energy ... -0.26 eV/f.u.

No. 4
# LiMg16Zn12 PBE relaxed
data_LiMg16Zn12
_chemical_formula_sum 'Li2 Mg32 Zn24'
_cell_length_a 10.277
_cell_length_b 13.965
_cell_length_c 8.727
_cell_angle_alpha 90.00
_cell_angle_beta 119.94
_cell_angle_gamma 90.00
_symmetry_space_group_name_H-M 'C 1 m 1'
_symmetry_Int_Tables_number 8
_symmetry_space_group_name_Hall 'C -2y'
loop_
_atom_site_label
_atom_site_type_symbol
_atom_site_fract_x
_atom_site_fract_y
_atom_site_fract_z
Li1 Li 0.000 0.000 0.000
Mg1 Mg 0.001 0.000 0.399
Mg2 Mg 0.101 0.200 0.034
Mg3 Mg 0.184 0.500 0.359
Mg4 Mg 0.273 0.376 0.699
Mg5 Mg 0.297 0.000 0.060
Mg6 Mg 0.304 0.306 0.391
Mg7 Mg 0.309 0.000 0.702
Mg8 Mg 0.334 0.366 0.083
Mg9 Mg 0.470 0.170 0.289
Mg10 Mg 0.489 0.182 0.699
Zn1 Zn 0.045 0.404 0.035
Zn2 Zn 0.049 0.093 0.724
Zn3 Zn 0.139 0.500 0.842
Zn4 Zn 0.142 0.189 0.535
Zn5 Zn 0.228 0.094 0.343
Zn6 Zn 0.303 0.195 0.887
Zn7 Zn 0.489 0.000 0.503
# E ... -1.555 eV/atom
# Spin magnetization ... 0.00 μB per formula unit
# Crystal system ... monoclinic
# N(E_F) ... 6.8 states/eV/cell
# Calculated formation energy ... -2.37 eV/f.u.

No. 5
# Li4Mg9Zn PBE relaxed
data_Li4Mg9Zn
_chemical_formula_sum 'Li8 Mg18 Zn2'
_cell_length_a 8.7101
_cell_length_b 8.7101
_cell_length_c 8.9334
_cell_angle_alpha 90.00
_cell_angle_beta 90.00
_cell_angle_gamma 120.00
_symmetry_space_group_name_H-M 'P 63/m m c'
_symmetry_Int_Tables_number 194
_symmetry_space_group_name_Hall '-P 6c 2c'
loop_
_atom_site_label
_atom_site_type_symbol
_atom_site_fract_x
_atom_site_fract_y
_atom_site_fract_z
Li1 Li 0.0000 0.0000 0.0000
Li2 Li 0.1116 0.2231 0.2500
Mg1 Mg 0.0797 0.5398 0.2500
Mg2 Mg 0.2025 0.4051 0.5456
Zn1 Zn 0.3333 0.6667 0.7500
# E ... -1.709 eV/atom
# Spin magnetization ... 0.00 μB per formula unit
# Crystal system ... hexagonal
# N(E_F) ... 9.4 states/eV/cell
# Calculated formation energy ... -0.64 eV/f.u.

No. 6
# Li4Mg5Zn2 PBE relaxed
data_Li4Mg5Zn2
_chemical_formula_sum 'Li8 Mg10 Zn4'
_cell_length_a 20.467
_cell_length_b 2.985
_cell_length_c 7.243
_cell_angle_alpha 90.00
_cell_angle_beta 94.38
_cell_angle_gamma 90.00
_symmetry_space_group_name_H-M 'C 1 2/m 1'
_symmetry_Int_Tables_number 12
_symmetry_space_group_name_Hall '-C 2y'
loop_
_atom_site_label
_atom_site_type_symbol
_atom_site_fract_x
_atom_site_fract_y
_atom_site_fract_z
Li1 Li 0.043 0.000 0.353
Li2 Li 0.090 0.500 0.705
Mg1 Mg 0.000 0.500 0.000
Mg2 Mg 0.138 0.000 0.054
Mg3 Mg 0.184 0.000 0.479
Zn1 Zn 0.224 0.500 0.824
# E ... -1.653 eV/atom
# Excess energy over the best structure of this formula in the dataset ... 8.30 kJ per mole of atoms
# Spin magnetization ... 0.00 μB per formula unit
# Crystal system ... monoclinic
# N(E_F) ... 7.7 states/eV/cell
# Calculated formation energy ... -0.01 eV/f.u.